HfReBO2: relaxed, PBE-GGA.

The structure in CIF format:
```
data_HfReBO2
_symmetry_space_group_name_H-M 'P 4/m m m'
_symmetry_Int_Tables_number 123
_symmetry_space_group_name_Hall '-P 4 2'
_cell_length_a 3.692
_cell_length_b 3.692
_cell_length_c 4.581
_cell_angle_alpha 90.00
_cell_angle_beta 90.00
_cell_angle_gamma 90.00
loop_
_atom_site_label
_atom_site_type_symbol
_atom_site_fract_x
_atom_site_fract_y
_atom_site_fract_z
_atom_site_occupancy
Hf1 Hf 0.000 0.000 0.000 1
Re1 Re 0.500 0.500 0.000 1
B1 B 0.000 0.000 0.500 1
O1 O 0.000 0.500 0.500 1
```

## Properties
DOS at the Fermi energy: 2.82 states/eV/cell
formation energy from raw total energies: 0.886 eV per atom
total DFT energy (no corrections): -34.56 eV per cell
total magnetic moment: 1.798 μB/cell

HfBRuO2: relaxed, PBE-GGA.

The structure in CIF format:
```
data_HfBRuO2
_symmetry_space_group_name_H-M 'P 4/m m m'
_symmetry_Int_Tables_number 123
_symmetry_space_group_name_Hall '-P 4 2'
_cell_length_a 3.674
_cell_length_b 3.674
_cell_length_c 5.699
_cell_angle_alpha 90.00
_cell_angle_beta 90.00
_cell_angle_gamma 90.00
loop_
_atom_site_label
_atom_site_type_symbol
_atom_site_fract_x
_atom_site_fract_y
_atom_site_fract_z
_atom_site_occupancy
Hf1 Hf 0.000 0.000 0.000 1
B1 B 0.500 0.500 0.000 1
Ru1 Ru 0.000 0.000 0.500 1
O1 O 0.000 0.500 0.500 1
```

## Properties
DOS at the Fermi energy: 4.18 states/eV/cell
formation energy from raw total energies: 0.016 eV per atom
total DFT energy (no corrections): -35.74 eV per cell
total magnetic moment: 0.000 μB/cell

HfB2SO: relaxed, PBE-GGA.

The structure in CIF format:
```
data_HfB2SO
_symmetry_space_group_name_H-M 'P 4/m m m'
_symmetry_Int_Tables_number 123
_symmetry_space_group_name_Hall '-P 4 2'
_cell_length_a 3.586
_cell_length_b 3.586
_cell_length_c 4.361
_cell_angle_alpha 90.00
_cell_angle_beta 90.00
_cell_angle_gamma 90.00
loop_
_atom_site_label
_atom_site_type_symbol
_atom_site_fract_x
_atom_site_fract_y
_atom_site_fract_z
_atom_site_occupancy
Hf1 Hf 0.000 0.000 0.000 1
B1 B 0.000 0.500 0.500 1
S1 S 0.500 0.500 0.500 1
O1 O 0.500 0.500 0.000 1
```

## Properties
DOS at the Fermi energy: 1.68 states/eV/cell
formation energy from raw total energies: 0.555 eV per atom
total DFT energy (no corrections): -29.62 eV per cell
total magnetic moment: 0.000 μB/cell

Hf2BTeO: relaxed, PBE-GGA.

The structure in CIF format:
```
data_Hf2BTeO
_symmetry_space_group_name_H-M 'P 4/m m m'
_symmetry_Int_Tables_number 123
_symmetry_space_group_name_Hall '-P 4 2'
_cell_length_a 4.794
_cell_length_b 4.794
_cell_length_c 3.565
_cell_angle_alpha 90.00
_cell_angle_beta 90.00
_cell_angle_gamma 90.00
loop_
_atom_site_label
_atom_site_type_symbol
_atom_site_fract_x
_atom_site_fract_y
_atom_site_fract_z
_atom_site_occupancy
Hf1 Hf 0.000 0.500 0.000 1
B1 B 0.000 0.000 0.000 1
Te1 Te 0.500 0.500 0.500 1
O1 O 0.000 0.000 0.500 1
```

## Properties
DOS at the Fermi energy: 4.03 states/eV/cell
formation energy from raw total energies: -0.229 eV per atom
total DFT energy (no corrections): -35.83 eV per cell
total magnetic moment: 0.000 μB/cell

HfThB2O8: relaxed, PBE-GGA.

The structure in CIF format:
```
data_HfThB2O8
_symmetry_space_group_name_H-M 'I -4'
_symmetry_Int_Tables_number 82
_cell_length_a 4.633
_cell_length_b 4.633
_cell_length_c 11.106
_cell_angle_alpha 90.00
_cell_angle_beta 90.00
_cell_angle_gamma 90.00
loop_
_symmetry_equiv_pos_as_xyz
'x,y,z'
'y,-x,-z'
'-x,-y,z'
'-y,x,-z'
'x+1/2,y+1/2,z+1/2'
'y+1/2,-x+1/2,-z+1/2'
'-x+1/2,-y+1/2,z+1/2'
'-y+1/2,x+1/2,-z+1/2'
loop_
_atom_site_label
_atom_site_type_symbol
_atom_site_fract_x
_atom_site_fract_y
_atom_site_fract_z
_atom_site_occupancy
Hf1 Hf 0.000 0.000 0.000 1
Th1 Th 0.000 0.500 0.250 1
B1 B 0.000 0.000 0.500 1
B2 B 0.000 0.500 0.750 1
O1 O 0.102 0.746 0.826 1
O2 O 0.138 0.248 0.436 1
```

## Properties
DOS at the Fermi energy: 9.07 states/eV/cell
formation energy from raw total energies: -2.571 eV per atom
total DFT energy (no corrections): -202.50 eV per cell
total magnetic moment: 4.061 μB/cell

HfTlB2O6: relaxed, PBE-GGA.

The structure in CIF format:
```
data_HfTlB2O6
_symmetry_space_group_name_H-M 'C 1 2/c 1'
_symmetry_Int_Tables_number 15
_cell_length_a 7.705
_cell_length_b 9.688
_cell_length_c 6.720
_cell_angle_alpha 90.00
_cell_angle_beta 108.37
_cell_angle_gamma 90.00
loop_
_symmetry_equiv_pos_as_xyz
'x,y,z'
'-x,-y,-z'
'-x,y,-z+1/2'
'x,-y,z+1/2'
'x+1/2,y+1/2,z'
'-x+1/2,-y+1/2,-z'
'-x+1/2,y+1/2,-z+1/2'
'x+1/2,-y+1/2,z+1/2'
loop_
_atom_site_label
_atom_site_type_symbol
_atom_site_fract_x
_atom_site_fract_y
_atom_site_fract_z
_atom_site_occupancy
Hf1 Hf 0.000 0.073 0.250 1
Tl1 Tl 0.000 0.393 0.750 1
B1 B 0.238 0.147 0.741 1
O1 O 0.076 0.107 0.587 1
O2 O 0.185 0.227 0.254 1
O3 O 0.203 0.457 0.111 1
```

## Properties
DOS at the Fermi energy: 12.04 states/eV/cell
formation energy from raw total energies: -2.308 eV per atom
total DFT energy (no corrections): -314.01 eV per cell
total magnetic moment: 0.000 μB/cell

Y2HfBO: relaxed, PBE-GGA.

The structure in CIF format:
```
data_Y2HfBO
_symmetry_space_group_name_H-M 'P 4/m m m'
_symmetry_Int_Tables_number 123
_symmetry_space_group_name_Hall '-P 4 2'
_cell_length_a 5.714
_cell_length_b 5.714
_cell_length_c 3.899
_cell_angle_alpha 90.00
_cell_angle_beta 90.00
_cell_angle_gamma 90.00
loop_
_atom_site_label
_atom_site_type_symbol
_atom_site_fract_x
_atom_site_fract_y
_atom_site_fract_z
_atom_site_occupancy
Y1 Y 0.000 0.500 0.000 1
Hf1 Hf 0.000 0.000 0.000 1
B1 B 0.500 0.500 0.500 1
O1 O 0.000 0.000 0.500 1
```

## Properties
DOS at the Fermi energy: 5.05 states/eV/cell
formation energy from raw total energies: 0.416 eV per atom
total DFT energy (no corrections): -32.44 eV per cell
total magnetic moment: 0.000 μB/cell

HfBOs: relaxed, PBE-GGA.

The structure in CIF format:
```
data_HfBOs
_symmetry_space_group_name_H-M 'C m c m'
_symmetry_Int_Tables_number 63
_symmetry_space_group_name_Hall '-C 2c 2'
_cell_length_a 3.633
_cell_length_b 14.248
_cell_length_c 3.082
_cell_angle_alpha 90.00
_cell_angle_beta 90.00
_cell_angle_gamma 90.00
loop_
_atom_site_label
_atom_site_type_symbol
_atom_site_fract_x
_atom_site_fract_y
_atom_site_fract_z
_atom_site_occupancy
Hf1 Hf 0.000 0.092 0.250 1
B1 B 0.000 0.465 0.250 1
Os1 Os 0.000 0.295 0.250 1
```

## Properties
DOS at the Fermi energy: 6.28 states/eV/cell
excess energy over the best structure of this formula in the dataset: 0 meV/atom
formation enthalpy at 0 K: -0.482 eV/atom
total DFT energy (no corrections): -117.23 eV per cell
total magnetic moment: 0.000 μB/cell

Hf2BOs: relaxed, PBE-GGA.

The structure in CIF format:
```
data_Hf2BOs
_symmetry_space_group_name_H-M 'I -4 2 d'
_symmetry_Int_Tables_number 122
_symmetry_space_group_name_Hall 'I -4 2bw'
_cell_length_a 6.646
_cell_length_b 6.646
_cell_length_c 6.255
_cell_angle_alpha 90.00
_cell_angle_beta 90.00
_cell_angle_gamma 90.00
loop_
_atom_site_label
_atom_site_type_symbol
_atom_site_fract_x
_atom_site_fract_y
_atom_site_fract_z
_atom_site_occupancy
Hf1 Hf 0.209 0.250 0.125 1
B1 B 0.000 0.000 0.000 1
Os1 Os 0.000 0.000 0.500 1
```

## Properties
DOS at the Fermi energy: 17.16 states/eV/cell
formation enthalpy at 0 K: 0.350 eV/atom
total DFT energy (no corrections): -145.65 eV per cell
total magnetic moment: 0.000 μB/cell

HfBOs: relaxed, PBE-GGA.

The structure in CIF format:
```
data_HfBOs
_symmetry_space_group_name_H-M 'F m m m'
_symmetry_Int_Tables_number 69
_symmetry_space_group_name_Hall '-F 2 2'
_cell_length_a 5.539
_cell_length_b 6.566
_cell_length_c 9.327
_cell_angle_alpha 90.00
_cell_angle_beta 90.00
_cell_angle_gamma 90.00
loop_
_atom_site_label
_atom_site_type_symbol
_atom_site_fract_x
_atom_site_fract_y
_atom_site_fract_z
_atom_site_occupancy
Hf1 Hf 0.250 0.000 0.250 1
B1 B 0.167 0.000 0.000 1
Os1 Os 0.000 0.208 0.500 1
```

## Properties
DOS at the Fermi energy: 19.95 states/eV/cell
excess energy over the best structure of this formula in the dataset: 298 meV/atom
formation enthalpy at 0 K: -0.184 eV/atom
total DFT energy (no corrections): -227.30 eV per cell
total magnetic moment: 0.000 μB/cell

Hf3BOs: relaxed, PBE-GGA.

The structure in CIF format:
```
data_Hf3BOs
_symmetry_space_group_name_H-M 'P m -3 m'
_symmetry_Int_Tables_number 221
_symmetry_space_group_name_Hall '-P 4 2 3'
_cell_length_a 4.481
_cell_length_b 4.481
_cell_length_c 4.481
_cell_angle_alpha 90.00
_cell_angle_beta 90.00
_cell_angle_gamma 90.00
loop_
_atom_site_label
_atom_site_type_symbol
_atom_site_fract_x
_atom_site_fract_y
_atom_site_fract_z
_atom_site_occupancy
Hf1 Hf 0.000 0.000 0.500 1
B1 B 0.000 0.000 0.000 1
Os1 Os 0.500 0.500 0.500 1
```

## Properties
DOS at the Fermi energy: 6.63 states/eV/cell
excess energy over the best structure of this formula in the dataset: 0 meV/atom
formation enthalpy at 0 K: -0.038 eV/atom
total DFT energy (no corrections): -47.96 eV per cell
total magnetic moment: 0.000 μB/cell

Hf2B2Os: relaxed, PBE-GGA.

The structure in CIF format:
```
data_Hf2B2Os
_symmetry_space_group_name_H-M 'P 4/m b m'
_symmetry_Int_Tables_number 127
_symmetry_space_group_name_Hall '-P 4 2ab'
_cell_length_a 6.129
_cell_length_b 6.129
_cell_length_c 3.439
_cell_angle_alpha 90.00
_cell_angle_beta 90.00
_cell_angle_gamma 90.00
loop_
_atom_site_label
_atom_site_type_symbol
_atom_site_fract_x
_atom_site_fract_y
_atom_site_fract_z
_atom_site_occupancy
Hf1 Hf 0.179 0.321 0.000 1
B1 B 0.108 0.608 0.500 1
Os1 Os 0.000 0.000 0.500 1
```

## Properties
DOS at the Fermi energy: 2.41 states/eV/cell
formation enthalpy at 0 K: -0.835 eV/atom
total DFT energy (no corrections): -97.33 eV per cell
total magnetic moment: 0.000 μB/cell